A plane-wave DFT calculation with SCAN was carried out for a crystal of BaTl relaxed with PBEsol.

a = 12.3938 Å, b = 10.1381 Å, c = 7.1846 Å
α = 90.00°, β = 90.00°, γ = 90.00°
Sites, in units of the cell vectors:
Ba (0.1177, 0.2500, 0.0000)
Ba (0.1177, 0.2500, 0.5000)
Ba (0.1931, 0.6348, 0.2500)
Ba (0.1931, 0.8652, 0.7500)
Ba (0.3682, 0.0436, 0.2500)
Ba (0.3682, 0.4564, 0.7500)
Ba (0.6318, 0.5436, 0.2500)
Ba (0.6318, 0.9564, 0.7500)
Ba (0.8069, 0.1348, 0.2500)
Ba (0.8069, 0.3652, 0.7500)
Ba (0.8823, 0.7500, 0.0000)
Ba (0.8823, 0.7500, 0.5000)
Tl (0.0658, 0.5435, 0.7500)
Tl (0.0658, 0.9565, 0.2500)
Tl (0.3807, 0.1110, 0.7500)
Tl (0.3807, 0.3890, 0.2500)
Tl (0.4333, 0.7500, 0.0000)
Tl (0.4333, 0.7500, 0.5000)
Tl (0.5667, 0.2500, 0.0000)
Tl (0.5667, 0.2500, 0.5000)
Tl (0.6193, 0.6110, 0.7500)
Tl (0.6193, 0.8890, 0.2500)
Tl (0.9342, 0.0435, 0.7500)
Tl (0.9342, 0.4565, 0.2500)

Results
Energy in eV per atom: -56.444